1.
Here is Ba2Pb at its PBEsol-relaxed geometry from Alexandria. Energies are from meta-GGA SCAN.

Output
Volume, Å³/atom: 40.92
Energy of formation from the pure elements, eV per atom: -0.7116

a = 5.977 Å, b = 5.977 Å, c = 7.938 Å
α = 90.00°, β = 90.00°, γ = 120.00°
Fractional coordinates of all 6 atoms:
Ba (0.000, 0.000, 0.000)
Ba (0.000, 0.000, 0.500)
Ba (0.333, 0.667, 0.250)
Ba (0.667, 0.333, 0.750)
Pb (0.333, 0.667, 0.750)
Pb (0.667, 0.333, 0.250)

---

2.
Here is Bi2AuO5 at its PBEsol-relaxed geometry from Alexandria. Energies are from meta-GGA SCAN.

Output
Formation energy without anion corrections, eV/f.u.: -6.6
Volume, Å³/atom: 13.39

a = 8.625 Å, b = 8.625 Å, c = 5.760 Å
α = 90.00°, β = 90.00°, γ = 90.00°
Fractional coordinates of all 32 atoms:
Bi (0.102, 0.602, 0.250)
Bi (0.102, 0.898, 0.750)
Bi (0.398, 0.602, 0.750)
Bi (0.398, 0.898, 0.250)
Bi (0.602, 0.102, 0.750)
Bi (0.602, 0.398, 0.250)
Bi (0.898, 0.102, 0.250)
Bi (0.898, 0.398, 0.750)
Au (0.250, 0.250, 0.100)
Au (0.250, 0.250, 0.600)
Au (0.750, 0.750, 0.400)
Au (0.750, 0.750, 0.900)
O (0.036, 0.169, 0.614)
O (0.036, 0.331, 0.114)
O (0.169, 0.036, 0.114)
O (0.169, 0.464, 0.614)
O (0.250, 0.750, 0.000)
O (0.250, 0.750, 0.500)
O (0.331, 0.036, 0.614)
O (0.331, 0.464, 0.114)
O (0.464, 0.169, 0.114)
O (0.464, 0.331, 0.614)
O (0.536, 0.669, 0.386)
O (0.536, 0.831, 0.886)
O (0.669, 0.536, 0.886)
O (0.669, 0.964, 0.386)
O (0.750, 0.250, 0.000)
O (0.750, 0.250, 0.500)
O (0.831, 0.536, 0.386)
O (0.831, 0.964, 0.886)
O (0.964, 0.669, 0.886)
O (0.964, 0.831, 0.386)